[1]
First-principles (PBE) data for an optimized crystal structure of Na4CdPb5, as listed in the Alexandria database.

Cell: 3.8746 3.8746 18.8396 Å, 90.00 90.00 90.00°
With the nearest neighbours (Å) after each atom.
Space group P4/mmm (No. 123)
One atom of each set of equivalent atoms:
Na: 0.0000 0.0000 0.0992 (multiplicity 2)  8 Pb 3.31-3.32
Na: 0.0000 0.0000 0.3011 (multiplicity 2)  8 Pb 3.36-3.39, 1 Cd 3.75
Cd: 0.0000 0.0000 0.5000 (multiplicity 1)  8 Pb 3.25
Pb: 0.5000 0.5000 0.0000 (multiplicity 1)  8 Na 3.32
Pb: 0.5000 0.5000 0.1977 (multiplicity 2)  8 Na 3.31-3.36
Pb: 0.5000 0.5000 0.4074 (multiplicity 2)  4 Cd 3.25, 4 Na 3.39, 1 Pb 3.49

Magnetic moment, Bohr magnetons per cell: 0.000
VASP energy, hartree per atom: -0.0945
Energy of formation from the pure elements, eV/atom: -0.10

---

[2]
First-principles (PBE) data for an optimized crystal structure of Na12Cd3Pb, as listed in the Alexandria database.

Cell: 4.9438 4.9438 19.7220 Å, 90.00 90.00 90.00°
With the nearest neighbours (Å) after each atom.
Space group P4/mmm (No. 123)
One atom of each set of equivalent atoms:
Na: 0.0000 0.0000 0.0000 (multiplicity 1)  8 Na 3.48, 4 Cd 3.50
Na: 0.0000 0.0000 0.2489 (multiplicity 2)  8 Na 3.49-3.53, 4 Cd 3.50
Na: 0.0000 0.0000 0.5000 (multiplicity 1)  8 Na 3.47, 4 Pb 3.50
Na: 0.0000 0.5000 0.1242 (multiplicity 4)  4 Cd 3.48-3.54, 8 Na 3.48-3.50
Na: 0.0000 0.5000 0.3767 (multiplicity 4)  2 Pb 3.47, 8 Na 3.47-3.53, 2 Cd 3.48
Cd: 0.5000 0.5000 0.0000 (multiplicity 1)  12 Na 3.48-3.50
Cd: 0.5000 0.5000 0.2526 (multiplicity 2)  12 Na 3.48-3.54
Pb: 0.5000 0.5000 0.5000 (multiplicity 1)  12 Na 3.47-3.50

Magnetic moment, Bohr magnetons per cell: 0.000
VASP energy, hartree per atom: -0.0532
Energy of formation from the pure elements, eV/atom: -0.05

---

[3]
First-principles (PBE) data for an optimized crystal structure of NaCd2Pb3, as listed in the Alexandria database.

Cell: 5.0756 13.9980 4.6819 Å, 90.00 90.00 90.00°
With the nearest neighbours (Å) after each atom.
Space group Cmmm (No. 65)
One atom of each set of equivalent atoms:
Na: 0.0000 0.0000 0.0000 (multiplicity 2)  8 Pb 3.32-3.45, 4 Cd 3.47
Cd: 0.0000 0.3308 0.0000 (multiplicity 4)  8 Pb 3.27-3.45, 2 Cd 3.40, 2 Na 3.47
Pb: 0.0000 0.1682 0.5000 (multiplicity 4)  6 Cd 3.27-3.45, 2 Na 3.32, 4 Pb 3.42-3.46
Pb: 0.0000 0.5000 0.5000 (multiplicity 2)  4 Cd 3.33, 4 Na 3.45, 4 Pb 3.46

Magnetic moment, Bohr magnetons per cell: 0.000
VASP energy, hartree per atom: -0.0888
Energy of formation from the pure elements, eV/atom: -0.04

---

[4]
First-principles (PBE) data for an optimized crystal structure of Na12Cd5Pb2, as listed in the Alexandria database.

Cell: 12.6378 10.9342 8.5747 Å, 90.00 104.07 90.00°
With the nearest neighbours (Å) after each atom.
Space group C2/m (No. 12)
One atom of each set of equivalent atoms:
Na: 0.1003 0.0000 0.1628 (multiplicity 4)  2 Cd 3.17-3.43, 3 Na 3.28-3.46, 2 Pb 3.36
Na: 0.1075 0.2622 0.3921 (multiplicity 8)  4 Cd 3.22-3.40, 1 Pb 3.31, 1 Na 3.46
Na: 0.1098 0.5000 0.7415 (multiplicity 4)  3 Cd 3.18-3.47, 1 Na 3.55
Na: 0.1812 0.1734 0.8161 (multiplicity 8)  2 Cd 3.17-3.35, 1 Pb 3.25
Cd: 0.0000 0.0000 0.5000 (multiplicity 2)  2 Cd 2.97
Cd: 0.1132 0.5000 0.1478 (multiplicity 4)  1 Cd 2.97, 2 Pb 3.03, 3 Na 3.17-3.18
Cd: 0.2384 0.0000 0.5251 (multiplicity 4)  2 Cd 2.97, 4 Na 3.17-3.32
Pb: 0.0000 0.2684 0.0000 (multiplicity 4)  2 Cd 3.03, 6 Na 3.25-3.36

Magnetic moment, Bohr magnetons per cell: 0.000
VASP energy, hartree per atom: -0.0574
Energy of formation from the pure elements, eV/atom: -0.10

---

[5]
First-principles (PBE) data for an optimized crystal structure of Na12Cd6Pb, as listed in the Alexandria database.

Cell: 11.1027 11.1027 15.7503 Å, 90.00 90.00 120.00°
With the nearest neighbours (Å) after each atom.
Space group R-3 (No. 148, hexagonal axes)
One atom of each set of equivalent atoms:
Na: 0.0856 0.8907 0.3899 (multiplicity 18)  4 Na 3.12-3.25, 2 Cd 3.22-3.33
Na: 0.1042 0.2156 0.1552 (multiplicity 18)  1 Na 3.12, 1 Pb 3.20, 4 Cd 3.22-3.47
Cd: 0.0010 0.5110 0.3861 (multiplicity 18)  7 Na 3.22-3.53, 1 Pb 3.32, 1 Cd 3.60
Pb: 0.0000 0.0000 0.0000 (multiplicity 3)  6 Na 3.20, 6 Cd 3.32

Magnetic moment, Bohr magnetons per cell: 0.000
VASP energy, hartree per atom: -0.0490
Energy of formation from the pure elements, eV/atom: -0.02
E above lowest polymorph, eV per atom: 0.0486

---

[6]
First-principles (PBE) data for an optimized crystal structure of Na3Cd2Pb4, as listed in the Alexandria database.

Cell: 5.2388 5.4379 9.9730 Å, 88.58 89.42 61.34°
With the nearest neighbours (Å) after each atom.
Space group P-1 (No. 2)
One atom of each set of equivalent atoms:
Na: 0.0000 0.0000 0.0000 (multiplicity 1)  8 Pb 3.25-3.33
Na: 0.3326 0.3334 0.4423 (multiplicity 2)  3 Na 3.27-3.36, 4 Pb 3.27-3.36, 1 Cd 3.33
Cd: 0.3325 0.3368 0.7760 (multiplicity 2)  7 Pb 3.25-3.38, 1 Na 3.33
Pb: 0.0020 0.9934 0.3325 (multiplicity 2)  3 Cd 3.25-3.35, 4 Na 3.27-3.31, 1 Pb 3.34
Pb: 0.3323 0.3328 0.1055 (multiplicity 2)  4 Na 3.25-3.36, 4 Cd 3.28-3.38

Magnetic moment, Bohr magnetons per cell: 0.000
VASP energy, hartree per atom: -0.0874
Energy of formation from the pure elements, eV/atom: -0.09
E above lowest polymorph, eV per atom: 0.0184

---

[7]
First-principles (PBE) data for an optimized crystal structure of Na2Cd10Pb, as listed in the Alexandria database.

Cell: 7.3928 19.1544 5.8756 Å, 90.00 90.00 90.00°
With the nearest neighbours (Å) after each atom.
Space group Pbam (No. 55)
One atom of each set of equivalent atoms:
Na: 0.1934 0.0733 0.0000 (multiplicity 4)  4 Cd 3.28-3.47, 2 Pb 3.56
Cd: 0.0489 0.7070 0.5000 (multiplicity 4)  3 Cd 2.76-2.99
Cd: 0.0682 0.1564 0.5000 (multiplicity 4)  3 Cd 2.76-3.01, 1 Pb 3.04
Cd: 0.1121 0.5587 0.5000 (multiplicity 4)  5 Cd 2.79-3.06, 1 Pb 3.08
Cd: 0.2213 0.3914 0.2386 (multiplicity 8)  4 Cd 2.80-3.13
Pb: 0.0000 0.0000 0.5000 (multiplicity 2)  8 Cd 3.04-3.31

Magnetic moment, Bohr magnetons per cell: 0.000
VASP energy, hartree per atom: -0.0403
Energy of formation from the pure elements, eV/atom: 0.10

---

[8]
First-principles (PBE) data for an optimized crystal structure of NaCd2Pb9, as listed in the Alexandria database.

Cell: 4.9312 4.9312 14.7269 Å, 90.00 90.00 90.00°
With the nearest neighbours (Å) after each atom.
Space group P4/mmm (No. 123)
One atom of each set of equivalent atoms:
Na: 0.0000 0.0000 0.0000 (multiplicity 1)  12 Pb 3.49-3.50
Cd: 0.0000 0.0000 0.3352 (multiplicity 2)  12 Pb 3.46-3.49
Pb: 0.0000 0.5000 0.1689 (multiplicity 4)  8 Pb 3.46-3.50, 2 Cd 3.48, 2 Na 3.50
Pb: 0.0000 0.5000 0.5000 (multiplicity 2)  4 Cd 3.46, 8 Pb 3.47-3.49
Pb: 0.5000 0.5000 0.0000 (multiplicity 1)  4 Na 3.49, 8 Pb 3.50
Pb: 0.5000 0.5000 0.3342 (multiplicity 2)  8 Pb 3.46-3.47, 4 Cd 3.49

Magnetic moment, Bohr magnetons per cell: 0.000
VASP energy, hartree per atom: -0.1122
Energy of formation from the pure elements, eV/atom: -0.01

---

[9]
First-principles (PBE) data for an optimized crystal structure of Na3Cd2Pb5, as listed in the Alexandria database.

Cell: 9.7675 13.0544 10.1576 Å, 90.00 90.00 90.00°
With the nearest neighbours (Å) after each atom.
Space group Ibam (No. 72)
One atom of each set of equivalent atoms:
Na: 0.0000 0.0000 0.2500 (multiplicity 4)  4 Cd 3.02, 2 Pb 3.24
Na: 0.2044 0.3771 0.0000 (multiplicity 8)  1 Cd 3.24, 5 Pb 3.39-3.61
Cd: 0.0362 0.1227 0.0000 (multiplicity 8)  3 Pb 3.02-3.05, 3 Na 3.02-3.24, 1 Cd 3.28
Pb: 0.0000 0.2486 0.2500 (multiplicity 8)  2 Cd 3.05, 1 Na 3.24, 3 Pb 3.28-3.30
Pb: 0.0000 0.5000 0.2500 (multiplicity 4)  6 Pb 3.28-3.47, 4 Na 3.61
Pb: 0.1559 0.3608 0.5000 (multiplicity 8)  1 Cd 3.02, 2 Pb 3.30

Magnetic moment, Bohr magnetons per cell: 0.000
VASP energy, hartree per atom: -0.0890
Energy of formation from the pure elements, eV/atom: 0.01

---

[10]
First-principles (PBE) data for an optimized crystal structure of Na2CdPb, as listed in the Alexandria database.

Cell: 7.4850 7.4850 7.4850 Å, 90.00 90.00 90.00°
With the nearest neighbours (Å) after each atom.
Space group F-43m (No. 216)
One atom of each set of equivalent atoms:
Na: 0.0000 0.0000 0.0000 (multiplicity 4)  4 Cd 3.24, 4 Na 3.24
Na: 0.2500 0.2500 0.2500 (multiplicity 4)  4 Pb 3.24, 4 Na 3.24
Cd: 0.2500 0.2500 0.7500 (multiplicity 4)  4 Pb 3.24, 4 Na 3.24
Pb: 0.0000 0.0000 0.5000 (multiplicity 4)  4 Cd 3.24, 4 Na 3.24

Magnetic moment, Bohr magnetons per cell: 0.000
VASP energy, hartree per atom: -0.0722
Energy of formation from the pure elements, eV/atom: -0.15

---

[11]
First-principles (PBE) data for an optimized crystal structure of Na4Cd2Pb, as listed in the Alexandria database.

Cell: 8.3658 6.4347 8.5626 Å, 90.00 118.71 90.00°
With the nearest neighbours (Å) after each atom.
Space group P2_1/m (No. 11)
One atom of each set of equivalent atoms:
Na: 0.0290 0.2500 0.0542 (multiplicity 2)  5 Na 3.15-3.50, 2 Cd 3.20-3.28, 1 Pb 3.25
Na: 0.0994 0.7500 0.6545 (multiplicity 2)  1 Pb 3.11, 1 Na 3.15, 4 Cd 3.18-3.36
Na: 0.4457 0.0035 0.1738 (multiplicity 4)  4 Na 3.17-3.51, 4 Cd 3.18-3.51, 1 Pb 3.40
Cd: 0.1945 0.2500 0.7759 (multiplicity 2)  1 Pb 3.18, 8 Na 3.27-3.41, 1 Cd 3.31
Cd: 0.3253 0.2500 0.4679 (multiplicity 2)  6 Na 3.18-3.51, 3 Pb 3.25-3.31, 1 Cd 3.31
Pb: 0.2352 0.7500 0.3737 (multiplicity 2)  4 Na 3.11-3.40, 4 Cd 3.18-3.31

Magnetic moment, Bohr magnetons per cell: 0.000
VASP energy, hartree per atom: -0.0587
Energy of formation from the pure elements, eV/atom: -0.05
E above lowest polymorph, eV per atom: 0.0443

---

[12]
First-principles (PBE) data for an optimized crystal structure of Na4Cd3Pb5, as listed in the Alexandria database.

Cell: 11.5025 5.6659 12.3344 Å, 90.00 101.04 90.00°
With the nearest neighbours (Å) after each atom.
Space group C2/m (No. 12)
One atom of each set of equivalent atoms:
Na: 0.1203 0.0000 0.2854 (multiplicity 4)  4 Pb 3.21-3.52, 2 Cd 3.45
Na: 0.1342 0.0000 0.9556 (multiplicity 4)  3 Pb 3.33-3.50, 1 Na 3.47, 1 Cd 3.54
Cd: 0.0000 0.5000 0.5000 (multiplicity 2)  4 Pb 2.83-3.06
Cd: 0.2049 0.0000 0.6889 (multiplicity 4)  4 Pb 2.98-3.22
Pb: 0.0000 0.0000 0.5000 (multiplicity 2)  4 Cd 2.83-2.98
Pb: 0.0993 0.5000 0.1128 (multiplicity 4)  1 Cd 2.99, 2 Pb 3.10-3.24, 1 Na 3.33
Pb: 0.0996 0.5000 0.7489 (multiplicity 4)  3 Cd 3.06-3.22, 1 Pb 3.10, 1 Na 3.33

Magnetic moment, Bohr magnetons per cell: 0.000
VASP energy, hartree per atom: -0.0806
Energy of formation from the pure elements, eV/atom: 0.02